1.
A plane-wave DFT calculation with PBE-GGA was carried out for a relaxed structure of Tm3ScOs.

## Properties
**Magnetic moment**: 0.07 μB/atom
**Formation enthalpy at 0 K**: -0.17 eV/atom
**DFT total energy**: -6.3659 eV per atom

extended XYZ file:
```
10
Lattice="5.6359 -4.2741 0.0000 5.6359 4.2741 0.0000 -5.1819 0.0000 5.6387" Properties=species:S:1:pos:R:3 pbc="T T T"
Tm -0.7432 0.0000 1.4972
Tm -1.2304 1.6549 4.5302
Tm -1.2304 -1.6549 4.5302
Tm 7.3203 1.6549 1.1084
Tm 7.3203 -1.6549 1.1084
Tm 6.8330 0.0000 4.1414
Sc 1.7018 0.0000 3.5752
Sc 4.3881 0.0000 2.0634
Os 2.2036 0.0000 0.7361
Os 3.8863 0.0000 4.9025
```


2.
A plane-wave DFT calculation with PBE-GGA was carried out for a relaxed structure of YTmScOs.

## Properties
**Magnetic moment**: 0.00 μB/atom
**Formation enthalpy at 0 K**: -0.01 eV/atom
**DFT total energy**: -7.1344 eV per atom

extended XYZ file:
```
4
Lattice="0.0000 3.5383 3.5383 3.5383 0.0000 3.5383 3.5383 3.5383 0.0000" Properties=species:S:1:pos:R:3 pbc="T T T"
Y 0.0000 0.0000 0.0000
Tm 3.5383 3.5383 3.5383
Sc 1.7691 1.7691 1.7691
Os 5.3074 5.3074 5.3074
```


3.
A plane-wave DFT calculation with PBE-GGA was carried out for a relaxed structure of TmZrScOs.

## Properties
**Magnetic moment**: 0.13 μB/atom
**Formation enthalpy at 0 K**: -0.09 eV/atom
**DFT total energy**: -7.7389 eV per atom

extended XYZ file:
```
4
Lattice="0.0000 3.4479 3.4479 3.4479 0.0000 3.4479 3.4479 3.4479 0.0000" Properties=species:S:1:pos:R:3 pbc="T T T"
Tm 0.0000 0.0000 0.0000
Zr 3.4479 3.4479 3.4479
Sc 1.7239 1.7239 1.7239
Os 5.1718 5.1718 5.1718
```